1:
DFT (SCAN) results for KBa2Re at its PBEsol-relaxed geometry.

The magnetic moment is 1.635 μB per formula unit. As for the volume: 135 Å³/cell. The calculation puts the density of states at the Fermi level at 3.8 states/eV per cell.

The structure belongs to space group P4/mmm (No. 123); the cell edges are 5.4899, 5.4899 and 4.4748 Å and the angles 90.00°, 90.00° and 90.00°. The distinct sites, in fractional coordinates, are K at (0.0000, 0.0000, 0.0000), Ba at (0.0000, 0.5000, 0.5000) and Re at (0.5000, 0.5000, 0.0000).

2:
DFT (SCAN) results for KBa2Re at its PBEsol-relaxed geometry.

The magnetic moment is 1.079 μB per formula unit. As for the volume: 490 Å³/cell. The calculation puts the density of states at the Fermi level at 21.7 states/eV per cell.

The structure belongs to space group Fm-3m (No. 225); the cell edges are 7.8825, 7.8825 and 7.8825 Å and the angles 90.00°, 90.00° and 90.00°. The distinct sites, in fractional coordinates, are K at (0.0000, 0.0000, 0.0000), Ba at (0.2500, 0.2500, 0.2500) and Re at (0.0000, 0.0000, 0.5000).

The relative energies come out as 1 121; 2 0, with values in meV per atom.

1:
DFT (SCAN) results for BeAuCl2 at its PBEsol-relaxed geometry.

The magnetic moment is 0.000 μB per formula unit. As for the volume: 271 Å³/cell. The calculation puts the density of states at the Fermi level at 5.1 states/eV per cell.

The structure belongs to space group Fm-3m (No. 225); the cell edges are 6.4679, 6.4679 and 6.4679 Å and the angles 90.00°, 90.00° and 90.00°. The distinct sites, in fractional coordinates, are Be at (0.0000, 0.0000, 0.0000), Au at (0.0000, 0.0000, 0.5000) and Cl at (0.2500, 0.2500, 0.2500).

2:
DFT (SCAN) results for BeAuCl2 at its PBEsol-relaxed geometry.

The magnetic moment is 0.000 μB per formula unit. As for the volume: 152 Å³/cell. The calculation puts the density of states at the Fermi level at 2.2 states/eV per cell.

The structure belongs to space group I-4m2 (No. 119); the cell edges are 3.5737, 3.5737 and 11.9389 Å and the angles 90.00°, 90.00° and 90.00°. The distinct sites, in fractional coordinates, are Be at (0.0000, 0.0000, 0.0000), Au at (0.0000, 0.5000, 0.7500), Cl at (0.0000, 0.0000, 0.5000) and Cl at (0.0000, 0.5000, 0.2500).

The relative energies come out as 1 224; 2 0, with values in meV per atom.

1:
DFT (SCAN) results for KCaHg2 at its PBEsol-relaxed geometry.

The magnetic moment is 0.000 μB per formula unit. As for the volume: 128 Å³/cell. The calculation puts the density of states at the Fermi level at 2.1 states/eV per cell.

The structure belongs to space group P4mm (No. 99); the cell edges are 3.9308, 3.9308 and 8.2942 Å and the angles 90.00°, 90.00° and 90.00°. The distinct sites, in fractional coordinates, are K at (0.0000, 0.0000, 0.0000), Ca at (0.5000, 0.5000, 0.3931), Hg at (0.0000, 0.0000, 0.5651) and Hg at (0.5000, 0.5000, 0.7627).

2:
DFT (SCAN) results for KCaHg2 at its PBEsol-relaxed geometry.

The magnetic moment is 0.000 μB per formula unit. As for the volume: 458 Å³/cell. The calculation puts the density of states at the Fermi level at 14.6 states/eV per cell.

The structure belongs to space group Fm-3m (No. 225); the cell edges are 7.7107, 7.7107 and 7.7107 Å and the angles 90.00°, 90.00° and 90.00°. The distinct sites, in fractional coordinates, are K at (0.0000, 0.0000, 0.0000), Ca at (0.0000, 0.0000, 0.5000) and Hg at (0.2500, 0.2500, 0.2500).

The relative energies come out as 1 42; 2 0, with values in meV per atom.